Entry A
Density functional theory data (PBE-GGA) for crystalline K2Ag2Ge at its relaxed geometry.

a b c (Å): 7.072 7.072 5.614
angles (deg): 90.00 90.00 90.00
Sites, in units of the cell vectors:
K: 0.177 0.323 0.000
K: 0.323 0.823 0.000
K: 0.677 0.177 0.000
K: 0.823 0.677 0.000
Ag: 0.150 0.650 0.500
Ag: 0.350 0.150 0.500
Ag: 0.650 0.850 0.500
Ag: 0.850 0.350 0.500
Ge: 0.000 0.000 0.500
Ge: 0.500 0.500 0.500

Calculated values
The density of states at the Fermi level comes out at 4.00 states/eV per cell.

***

Entry B
Density functional theory data (PBE-GGA) for crystalline K2Ag2Ge at its relaxed geometry.

a b c (Å): 6.633 6.633 6.633
angles (deg): 139.93 127.88 67.71
Sites, in units of the cell vectors:
K: 0.200 0.200 0.000
K: 0.800 0.800 0.000
Ag: 0.252 0.500 0.752
Ag: 0.748 0.500 0.248
Ge: 0.500 0.000 0.500

Calculated values
The density of states at the Fermi level comes out at 2.23 states/eV per cell.

***

Last place for stability: entry A

***

Entry A
Density functional theory data (PBE-GGA) for crystalline KNa2AgGe at its relaxed geometry.

a b c (Å): 5.706 5.706 4.932
angles (deg): 90.00 90.00 90.00
Sites, in units of the cell vectors:
K: 0.000 0.000 0.000
Na: 0.000 0.500 0.500
Na: 0.500 0.000 0.500
Ag: 0.500 0.500 0.500
Ge: 0.500 0.500 0.000

Calculated values
The density of states at the Fermi level comes out at 1.91 states/eV per cell.

***

Entry B
Density functional theory data (PBE-GGA) for crystalline KNa2AgGe at its relaxed geometry.

a b c (Å): 5.697 5.697 5.037
angles (deg): 90.00 90.00 90.00
Sites, in units of the cell vectors:
K: 0.000 0.000 0.000
Na: 0.000 0.500 0.500
Na: 0.500 0.000 0.500
Ag: 0.500 0.500 0.000
Ge: 0.500 0.500 0.500

Calculated values
The density of states at the Fermi level comes out at 1.24 states/eV per cell.

***

Last place for stability: entry A

***

Entry A
Density functional theory data (PBE-GGA) for crystalline La2Ag3Ge at its relaxed geometry.

a b c (Å): 3.828 4.630 8.372
angles (deg): 90.00 90.00 90.00
Sites, in units of the cell vectors:
La: 0.000 0.000 0.000
La: 0.000 0.500 0.480
Ag: 0.500 0.000 0.650
Ag: 0.500 0.500 0.163
Ag: 0.500 0.500 0.831
Ge: 0.500 0.000 0.325

Calculated values
The density of states at the Fermi level comes out at 5.02 states/eV per cell.

***

Entry B
Density functional theory data (PBE-GGA) for crystalline La2Ag3Ge at its relaxed geometry.

a b c (Å): 9.463 9.061 6.079
angles (deg): 74.47 67.30 38.23
Sites, in units of the cell vectors:
La: 0.241 0.759 0.759
La: 0.250 0.250 0.250
La: 0.750 0.750 0.750
La: 0.759 0.241 0.241
Ag: 0.170 0.170 0.830
Ag: 0.171 0.659 0.341
Ag: 0.341 0.829 0.171
Ag: 0.659 0.171 0.829
Ag: 0.829 0.341 0.659
Ag: 0.830 0.830 0.170
Ge: 0.335 0.335 0.665
Ge: 0.665 0.665 0.335

Calculated values
The density of states at the Fermi level comes out at 7.12 states/eV per cell.

***

Last place for stability: entry A

***

Entry A
Density functional theory data (PBE-GGA) for crystalline LaAg3Ge at its relaxed geometry.

a b c (Å): 4.962 4.962 4.962
angles (deg): 90.00 90.00 90.00
Sites, in units of the cell vectors:
La: 0.000 0.000 0.000
Ag: 0.000 0.500 0.500
Ag: 0.500 0.000 0.500
Ag: 0.500 0.500 0.000
Ge: 0.500 0.500 0.500

Calculated values
The density of states at the Fermi level comes out at 4.45 states/eV per cell.

***

Entry B
Density functional theory data (PBE-GGA) for crystalline LaAg3Ge at its relaxed geometry.

a b c (Å): 5.572 5.572 5.572
angles (deg): 90.00 90.00 90.00
Sites, in units of the cell vectors:
La: 0.000 0.000 0.000
Ag: 0.000 0.000 0.500
Ag: 0.000 0.500 0.000
Ag: 0.500 0.000 0.000
Ge: 0.500 0.500 0.500

Calculated values
The density of states at the Fermi level comes out at 5.84 states/eV per cell.

***

Last place for stability: entry B

***

Entry A
Density functional theory data (PBE-GGA) for crystalline La3AgGe at its relaxed geometry.

a b c (Å): 4.344 7.401 9.584
angles (deg): 90.95 90.10 107.02
Sites, in units of the cell vectors:
La: 0.047 0.095 0.342
La: 0.249 0.498 0.679
La: 0.414 0.830 0.109
La: 0.586 0.170 0.891
La: 0.751 0.502 0.321
La: 0.953 0.905 0.658
Ag: 0.191 0.380 0.073
Ag: 0.809 0.620 0.927
Ge: 0.391 0.782 0.427
Ge: 0.609 0.218 0.573

Calculated values
The density of states at the Fermi level comes out at 10.16 states/eV per cell.

***

Entry B
Density functional theory data (PBE-GGA) for crystalline La3AgGe at its relaxed geometry.

a b c (Å): 5.766 5.766 5.766
angles (deg): 90.00 90.00 90.00
Sites, in units of the cell vectors:
La: 0.000 0.000 0.500
La: 0.000 0.500 0.000
La: 0.500 0.000 0.000
Ag: 0.500 0.500 0.500
Ge: 0.000 0.000 0.000

Calculated values
The density of states at the Fermi level comes out at 6.06 states/eV per cell.

***

Last place for stability: entry B

***

Entry A
Density functional theory data (PBE-GGA) for crystalline Li8AgGe2 at its relaxed geometry.

a b c (Å): 7.644 7.644 4.510
angles (deg): 106.89 106.89 122.23
Sites, in units of the cell vectors:
Li: 0.091 0.376 0.706
Li: 0.203 0.797 0.000
Li: 0.376 0.091 0.706
Li: 0.407 0.407 0.188
Li: 0.593 0.593 0.812
Li: 0.624 0.909 0.294
Li: 0.797 0.203 0.000
Li: 0.909 0.624 0.294
Ag: 0.000 0.000 0.000
Ge: 0.321 0.679 0.500
Ge: 0.679 0.321 0.500

Calculated values
The density of states at the Fermi level comes out at 2.52 states/eV per cell.

***

Entry B
Density functional theory data (PBE-GGA) for crystalline Li8AgGe2 at its relaxed geometry.

a b c (Å): 7.690 7.690 6.137
angles (deg): 113.45 113.45 33.63
Sites, in units of the cell vectors:
Li: 0.000 0.000 0.211
Li: 0.000 0.000 0.789
Li: 0.176 0.176 0.676
Li: 0.341 0.341 0.072
Li: 0.341 0.341 0.610
Li: 0.659 0.659 0.390
Li: 0.659 0.659 0.928
Li: 0.824 0.824 0.324
Ag: 0.500 0.500 0.500
Ge: 0.182 0.182 0.182
Ge: 0.818 0.818 0.818

Calculated values
The density of states at the Fermi level comes out at 2.88 states/eV per cell.

***

Last place for stability: entry A

***

Entry A
Density functional theory data (PBE-GGA) for crystalline Li3Ag4Ge4 at its relaxed geometry.

a b c (Å): 2.968 4.552 14.526
angles (deg): 81.07 84.28 89.95
Sites, in units of the cell vectors:
Li: 0.000 0.000 0.000
Li: 0.139 0.640 0.721
Li: 0.861 0.360 0.279
Ag: 0.270 0.271 0.459
Ag: 0.412 0.911 0.179
Ag: 0.588 0.089 0.821
Ag: 0.730 0.729 0.541
Ge: 0.321 0.819 0.361
Ge: 0.456 0.455 0.090
Ge: 0.544 0.545 0.910
Ge: 0.679 0.181 0.639

Calculated values
The density of states at the Fermi level comes out at 3.49 states/eV per cell.

***

Entry B
Density functional theory data (PBE-GGA) for crystalline Li3Ag4Ge4 at its relaxed geometry.

a b c (Å): 8.627 8.627 8.627
angles (deg): 150.61 135.82 53.95
Sites, in units of the cell vectors:
Li: 0.000 0.000 0.000
Li: 0.359 0.859 0.500
Li: 0.641 0.141 0.500
Ag: 0.215 0.215 0.000
Ag: 0.283 0.500 0.783
Ag: 0.717 0.500 0.217
Ag: 0.785 0.785 0.000
Ge: 0.041 0.338 0.703
Ge: 0.364 0.662 0.703
Ge: 0.636 0.338 0.297
Ge: 0.959 0.662 0.297

Calculated values
The density of states at the Fermi level comes out at 3.09 states/eV per cell.

***

Last place for stability: entry B

***

Entry A
Density functional theory data (PBE-GGA) for crystalline LiAg4Ge at its relaxed geometry.

a b c (Å): 5.501 5.501 5.501
angles (deg): 60.00 60.00 60.00
Sites, in units of the cell vectors:
Li: 0.000 0.000 0.000
Ag: 0.375 0.375 0.375
Ag: 0.375 0.375 0.876
Ag: 0.375 0.876 0.375
Ag: 0.876 0.375 0.375
Ge: 0.750 0.750 0.750

Calculated values
The density of states at the Fermi level comes out at 2.75 states/eV per cell.

***

Entry B
Density functional theory data (PBE-GGA) for crystalline LiAg4Ge at its relaxed geometry.

a b c (Å): 3.878 5.076 5.966
angles (deg): 73.78 89.78 67.57
Sites, in units of the cell vectors:
Li: 0.000 0.000 0.000
Ag: 0.337 0.326 0.673
Ag: 0.339 0.322 0.162
Ag: 0.661 0.678 0.838
Ag: 0.663 0.674 0.327
Ge: 0.000 0.000 0.500

Calculated values
The density of states at the Fermi level comes out at 1.84 states/eV per cell.

***

Last place for stability: entry A

***

Entry A
Density functional theory data (PBE-GGA) for crystalline Li2Ag5Ge2 at its relaxed geometry.

a b c (Å): 8.249 8.249 4.784
angles (deg): 98.87 98.87 81.91
Sites, in units of the cell vectors:
Li: 0.152 0.848 0.500
Li: 0.498 0.914 0.497
Li: 0.848 0.152 0.000
Li: 0.914 0.498 0.997
Ag: 0.047 0.208 0.590
Ag: 0.208 0.047 0.090
Ag: 0.238 0.391 0.087
Ag: 0.391 0.238 0.587
Ag: 0.437 0.596 0.511
Ag: 0.596 0.437 0.011
Ag: 0.636 0.786 0.979
Ag: 0.786 0.636 0.479
Ag: 0.819 0.974 0.439
Ag: 0.974 0.819 0.939
Ge: 0.117 0.522 0.590
Ge: 0.317 0.715 0.008
Ge: 0.522 0.117 0.090
Ge: 0.715 0.317 0.508

Calculated values
The density of states at the Fermi level comes out at 5.38 states/eV per cell.

***

Entry B
Density functional theory data (PBE-GGA) for crystalline Li2Ag5Ge2 at its relaxed geometry.

a b c (Å): 7.138 7.138 7.099
angles (deg): 90.00 90.00 61.27
Sites, in units of the cell vectors:
Li: 0.123 0.877 0.874
Li: 0.377 0.623 0.374
Li: 0.623 0.377 0.626
Li: 0.877 0.123 0.126
Ag: 0.000 0.000 0.500
Ag: 0.051 0.690 0.177
Ag: 0.190 0.551 0.677
Ag: 0.310 0.949 0.177
Ag: 0.449 0.810 0.677
Ag: 0.500 0.500 0.000
Ag: 0.551 0.190 0.323
Ag: 0.690 0.051 0.823
Ag: 0.810 0.449 0.323
Ag: 0.949 0.310 0.823
Ge: 0.213 0.213 0.500
Ge: 0.287 0.287 0.000
Ge: 0.713 0.713 0.000
Ge: 0.787 0.787 0.500

Calculated values
The density of states at the Fermi level comes out at 5.69 states/eV per cell.

***

Last place for stability: entry B

***

Entry A
Density functional theory data (PBE-GGA) for crystalline LiAgGe2 at its relaxed geometry.

a b c (Å): 4.633 4.633 4.633
angles (deg): 60.00 60.00 60.00
Sites, in units of the cell vectors:
Li: 0.000 0.000 0.000
Ag: 0.500 0.500 0.500
Ge: 0.250 0.250 0.250
Ge: 0.750 0.750 0.750

Calculated values
The density of states at the Fermi level comes out at 0.87 states/eV per cell.

***

Entry B
Density functional theory data (PBE-GGA) for crystalline LiAgGe2 at its relaxed geometry.

a b c (Å): 4.058 4.058 4.176
angles (deg): 90.00 90.00 90.00
Sites, in units of the cell vectors:
Li: 0.000 0.000 0.000
Ag: 0.500 0.500 0.000
Ge: 0.000 0.500 0.500
Ge: 0.500 0.000 0.500

Calculated values
The density of states at the Fermi level comes out at 1.53 states/eV per cell.

***

Entry C
Density functional theory data (PBE-GGA) for crystalline LiAgGe2 at its relaxed geometry.

a b c (Å): 5.256 5.256 5.256
angles (deg): 49.26 49.26 49.26
Sites, in units of the cell vectors:
Li: 0.000 0.000 0.000
Ag: 0.199 0.199 0.199
Ge: 0.593 0.593 0.593
Ge: 0.785 0.785 0.785

Calculated values
The density of states at the Fermi level comes out at 1.61 states/eV per cell.

***

Last place for stability: entry C

***

Entry A
Density functional theory data (PBE-GGA) for crystalline Li3Ag2Ge at its relaxed geometry.

a b c (Å): 6.882 6.882 3.306
angles (deg): 90.00 90.00 143.33
Sites, in units of the cell vectors:
Li: 0.000 0.000 0.000
Li: 0.339 0.661 0.000
Li: 0.661 0.339 0.000
Ag: 0.167 0.833 0.500
Ag: 0.833 0.167 0.500
Ge: 0.500 0.500 0.500

Calculated values
The density of states at the Fermi level comes out at 2.18 states/eV per cell.

***

Entry B
Density functional theory data (PBE-GGA) for crystalline Li3Ag2Ge at its relaxed geometry.

a b c (Å): 7.524 7.524 7.524
angles (deg): 104.84 85.31 145.67
Sites, in units of the cell vectors:
Li: 0.000 0.145 0.145
Li: 0.000 0.855 0.855
Li: 0.500 0.000 0.000
Li: 0.500 0.145 0.645
Li: 0.500 0.500 0.500
Li: 0.500 0.855 0.355
Ag: 0.138 0.517 0.621
Ag: 0.396 0.517 0.879
Ag: 0.604 0.483 0.121
Ag: 0.862 0.483 0.379
Ge: 0.226 0.976 0.250
Ge: 0.774 0.024 0.750

Calculated values
The density of states at the Fermi level comes out at 6.27 states/eV per cell.

***

Last place for stability: entry B